Material: Tb3Ni4P4
Method: DFT, PBE
State: relaxed

- calculated formation energy (meV/atom) = -1142
- DFT total energy (eV per formula unit) = -71.2
- SG = Immm (71)
- DOS(E_F) (states/eV per cell) = 5.9
- crystal system = orthorhombic
- spin magnetization (μB/atom) = 0.00

POSCAR file:
```
Tb3Ni4P4
1.0
3.9001 -0.0005 0.0038
-0.0003 3.8775 0.0026
1.9421 1.9290 11.4369
P Ni Tb
4 4 3
Cartesian
1.9506 1.9388 1.1797
3.8914 3.8674 10.2635
3.8949 1.9315 7.0046
1.9471 3.8747 4.4387
3.8954 3.8707 5.7284
1.9486 3.8771 2.1895
1.9467 1.9355 5.7149
3.8934 1.9291 9.2538
1.9439 3.8704 8.0221
1.9422 1.9291 11.4369
3.8982 1.9358 3.4212
```